# Na2HfS3

An optimized crystal structure of Na2HfS3 (GGA-PBE, OQMD).

a b c (Å): 7.0210 3.7526 9.5881
angles (deg): 90.00 92.51 90.00
Last column: nearest neighbours and their distance in Å.
Space group P2_1/m (No. 11)
Inequivalent atoms, fractional coordinates:
1 Na 0.0805 0.2500 0.1603  6 S 2.77-2.94
2 Na 0.2403 0.7500 0.4905  6 S 2.82-2.95
3 Hf 0.3991 0.2500 0.8219  5 S 2.39-2.62
4 S 0.1077 0.2500 0.6830  1 Hf 2.39
5 S 0.2920 0.7500 0.9916  3 Hf 2.62-2.75, 2 Na 2.92
6 S 0.4374 0.2500 0.3078  2 Hf 2.55, 1 Na 2.82

Output
- M_tot: 0.01 μB/cell

=====

# RbCoSnTe3

An optimized crystal structure of RbCoSnTe3 (GGA-PBE, OQMD).

a b c (Å): 4.4246 14.7527 12.3669
angles (deg): 90.00 90.00 90.00
Last column: nearest neighbours and their distance in Å.
Space group Cmcm (No. 63)
Inequivalent atoms, fractional coordinates:
1 Rb 0.0000 0.2249 0.2500  2 Co 3.75, 9 Te 3.78-4.18
2 Co 0.0000 0.0697 0.7500  4 Te 2.49-2.50
3 Sn 0.0000 0.5000 0.0000  6 Te 3.09-3.10
4 Te 0.0000 0.1372 0.5646  1 Co 2.50
5 Te 0.0000 0.4918 0.7500  2 Co 2.49

Output
- M_tot: 0.02 μB/cell

=====

# PaAgPd

An optimized crystal structure of PaAgPd (GGA-PBE, OQMD).

a b c (Å): 6.6845 6.6845 6.6845
angles (deg): 90.00 90.00 90.00
Last column: nearest neighbours and their distance in Å.
Space group F-43m (No. 216)
Inequivalent atoms, fractional coordinates:
1 Pa 0.0000 0.0000 0.0000  4 Ag 2.89, 4 Pd 2.89
2 Ag 0.2500 0.2500 0.7500  4 Pa 2.89
3 Pd 0.2500 0.2500 0.2500  4 Pa 2.89

Output
- M_tot: 1.22 μB/cell
- ΔE to the lowest computed polymorph: 1.09 eV/f.u.

=====

# Li2MgFeH6

An optimized crystal structure of Li2MgFeH6 (GGA-PBE, OQMD).

a b c (Å): 6.7411 6.7411 6.7411
angles (deg): 90.00 90.00 90.00
Last column: nearest neighbours and their distance in Å.
Space group Fm-3m (No. 225)
Inequivalent atoms, fractional coordinates:
1 Li 0.2500 0.2500 0.2500  12 H 2.39
2 Mg 0.0000 0.0000 0.0000  6 H 1.81
3 Fe 0.0000 0.0000 0.5000  6 H 1.56
4 H 0.0000 0.0000 0.2692  1 Fe 1.56

Output
- M_tot: 0.00 μB/cell

=====

# Ho2MgSi2

An optimized crystal structure of Ho2MgSi2 (GGA-PBE, OQMD).

a b c (Å): 7.1393 7.1393 4.1900
angles (deg): 90.00 90.00 90.00
Last column: nearest neighbours and their distance in Å.
Space group P4/mbm (No. 127)
Inequivalent atoms, fractional coordinates:
1 Ho 0.1782 0.3218 0.0000  6 Si 2.93-3.01
2 Mg 0.0000 0.0000 0.5000  4 Si 2.85
3 Si 0.1185 0.6185 0.5000  1 Si 2.39

Output
- M_tot: 0.01 μB/cell

=====

# SrCuNiSb

An optimized crystal structure of SrCuNiSb (GGA-PBE, OQMD).

a b c (Å): 6.9206 6.9206 6.9206
angles (deg): 90.00 90.00 90.00
Last column: nearest neighbours and their distance in Å.
Space group F-43m (No. 216)
Inequivalent atoms, fractional coordinates:
1 Sr 0.0000 0.0000 0.0000  4 Sb 3.00, 4 Ni 3.00
2 Cu 0.0000 0.0000 0.5000  4 Sb 3.00, 4 Ni 3.00
3 Ni 0.2500 0.2500 0.7500  4 Cu 3.00, 4 Sr 3.00
4 Sb 0.2500 0.2500 0.2500  4 Cu 3.00, 4 Sr 3.00

Output
- M_tot: 1.38 μB/cell
- ΔE to the lowest computed polymorph: 1.14 eV/f.u.

=====

# LiCd2Pd

An optimized crystal structure of LiCd2Pd (GGA-PBE, OQMD).

a b c (Å): 4.5616 4.5616 8.2864
angles (deg): 90.00 90.00 120.00
Last column: nearest neighbours and their distance in Å.
Space group P6_3/mmc (No. 194)
Inequivalent atoms, fractional coordinates:
1 Li 0.0000 0.0000 0.0000  6 Cd 2.73
2 Cd 0.3333 0.6667 0.0867  4 Cd 2.71-3.00, 3 Li 2.73, 4 Pd 2.79-2.96
3 Pd 0.3333 0.6667 0.7500  8 Cd 2.79-2.96

Output
- ΔE to the lowest computed polymorph: 0.69 eV/f.u.

=====

# PrGaPt

An optimized crystal structure of PrGaPt (GGA-PBE, OQMD).

a b c (Å): 7.2419 4.5406 7.7991
angles (deg): 90.00 90.00 90.00
Last column: nearest neighbours and their distance in Å.
Space group Pnma (No. 62)
Inequivalent atoms, fractional coordinates:
1 Pr 0.0166 0.2500 0.1990  5 Pt 3.01-3.27, 6 Ga 3.17-3.32
2 Ga 0.1745 0.2500 0.5793  4 Pt 2.65-2.80
3 Pt 0.2120 0.7500 0.4069  4 Ga 2.65-2.80

Output
- M_tot: 0.01 μB/cell

=====

no.,E_tot (eV per atom)
1,-5.614
2,-3.877
3,-5.471
4,-3.582
5,-5.023
6,-3.584
7,-2.462
8,-5.636